--- i ---
The following is a PBE calculation of Nd3SmIn after structural relaxation, from the Alexandria database.

```
Nd3SmIn
1.0
2.466 -12.985 0.000
2.466 12.985 0.000
0.000 0.000 4.932
Nd Sm In
6 2 2
Direct
0.053 0.947 0.750
0.251 0.749 0.750
0.446 0.554 0.750
0.554 0.446 0.250
0.749 0.251 0.250
0.947 0.053 0.250
0.348 0.652 0.250
0.652 0.348 0.750
0.153 0.847 0.250
0.847 0.153 0.750
```

calculated density = 7338 kg/m3
size of the total moment = 0.0 μB per formula unit
DOS(E_F) = 1.33 states/eV per atom



--- ii ---
The following is a PBE calculation of Nd3SmIn after structural relaxation, from the Alexandria database.

```
Nd3SmIn
1.0
4.816 2.780 4.149
-4.816 2.780 4.149
0.000 -5.561 4.149
Nd Sm In
6 2 2
Direct
0.084 0.416 0.750
0.250 0.916 0.584
0.416 0.750 0.084
0.584 0.250 0.916
0.750 0.084 0.416
0.916 0.584 0.250
0.000 0.000 0.000
0.500 0.500 0.500
0.250 0.250 0.250
0.750 0.750 0.750
```

calculated density = 6954 kg/m3
size of the total moment = 0.0 μB per formula unit
DOS(E_F) = 1.53 states/eV per atom



Stability summary: most stable i, least stable ii.



--- i ---
The following is a PBE calculation of Nd3Sm2In after structural relaxation, from the Alexandria database.

```
Nd3Sm2In
1.0
2.495 -7.764 0.000
2.495 7.764 0.000
0.000 0.000 4.980
Nd Sm In
3 2 1
Direct
0.000 0.000 0.000
0.335 0.665 0.000
0.665 0.335 0.000
0.162 0.838 0.500
0.838 0.162 0.500
0.500 0.500 0.500
```

calculated density = 7299 kg/m3
size of the total moment = 0.0 μB per formula unit
DOS(E_F) = 1.27 states/eV per atom



--- ii ---
The following is a PBE calculation of Nd3Sm2In after structural relaxation, from the Alexandria database.

```
Nd3Sm2In
1.0
8.900 0.000 0.000
0.000 3.780 0.000
-0.039 0.000 11.666
Nd Sm In
6 4 2
Direct
0.094 0.250 0.103
0.351 0.750 0.574
0.392 0.750 0.250
0.608 0.250 0.750
0.649 0.250 0.426
0.906 0.750 0.897
0.090 0.250 0.395
0.355 0.750 0.926
0.645 0.250 0.074
0.910 0.750 0.605
0.156 0.250 0.753
0.844 0.750 0.247
```

calculated density = 7179 kg/m3
size of the total moment = 0.0 μB per formula unit
DOS(E_F) = 1.28 states/eV per atom



Stability summary: most stable i, least stable ii.



--- i ---
The following is a PBE calculation of NdSmInSn after structural relaxation, from the Alexandria database.

```
NdSmInSn
1.0
0.000 3.862 3.862
3.862 0.000 3.862
3.862 3.862 0.000
Nd Sm In Sn
1 1 1 1
Direct
0.000 0.000 0.000
0.500 0.500 0.500
0.750 0.750 0.750
0.250 0.250 0.250
```

calculated density = 7615 kg/m3
size of the total moment = 0.0 μB per formula unit
DOS(E_F) = 0.80 states/eV per atom



--- ii ---
The following is a PBE calculation of NdSmInSn after structural relaxation, from the Alexandria database.

```
NdSmInSn
1.0
4.403 0.000 0.000
0.000 2.336 5.873
0.000 -2.336 5.873
Nd Sm In Sn
1 1 1 1
Direct
0.000 0.000 0.000
0.500 0.725 0.725
0.500 0.448 0.448
0.000 0.278 0.278
```

calculated density = 7261 kg/m3
size of the total moment = 0.0 μB per formula unit
DOS(E_F) = 0.98 states/eV per atom



Stability summary: most stable ii, least stable i.



--- i ---
The following is a PBE calculation of NdSmYIn after structural relaxation, from the Alexandria database.

```
NdSmYIn
1.0
0.000 3.930 3.930
3.930 0.000 3.930
3.930 3.930 0.000
Nd Sm Y In
1 1 1 1
Direct
0.000 0.000 0.000
0.500 0.500 0.500
0.250 0.250 0.250
0.750 0.750 0.750
```

calculated density = 6816 kg/m3
size of the total moment = 1.0 μB per formula unit
DOS(E_F) = 1.56 states/eV per atom



--- ii ---
The following is a PBE calculation of NdSmYIn after structural relaxation, from the Alexandria database.

```
NdSmYIn
1.0
0.000 3.919 3.919
3.919 0.000 3.919
3.919 3.919 0.000
Nd Sm Y In
1 1 1 1
Direct
0.000 0.000 0.000
0.250 0.250 0.250
0.750 0.750 0.750
0.500 0.500 0.500
```

calculated density = 6876 kg/m3
size of the total moment = 1.5 μB per formula unit
DOS(E_F) = 1.39 states/eV per atom



Stability summary: most stable i, least stable ii.



--- i ---
The following is a PBE calculation of NdInSn after structural relaxation, from the Alexandria database.

```
NdInSn
1.0
-1.904 1.904 5.791
1.904 -1.904 5.791
1.904 1.904 -5.791
Nd In Sn
1 1 1
Direct
0.000 0.000 0.000
0.682 0.682 0.000
0.315 0.315 0.000
```

calculated density = 7471 kg/m3
size of the total moment = 0.3 μB per formula unit
DOS(E_F) = 0.79 states/eV per atom



--- ii ---
The following is a PBE calculation of NdInSn after structural relaxation, from the Alexandria database.

```
NdInSn
1.0
1.763 -8.543 0.000
1.763 8.543 0.000
0.000 0.000 5.928
Nd In Sn
2 2 2
Direct
0.169 0.831 0.750
0.831 0.169 0.250
0.356 0.644 0.750
0.644 0.356 0.250
0.000 0.000 0.000
0.000 0.000 0.500
```

calculated density = 7028 kg/m3
size of the total moment = 0.0 μB per formula unit
DOS(E_F) = 0.79 states/eV per atom



Stability summary: most stable i, least stable ii.



--- i ---
The following is a PBE calculation of NdInSn4 after structural relaxation, from the Alexandria database.

```
NdInSn4
1.0
5.874 -2.501 0.000
5.874 2.501 0.000
-0.211 0.000 5.738
Nd In Sn
1 1 4
Direct
0.000 0.000 0.000
0.500 0.500 0.500
0.161 0.161 0.492
0.311 0.311 0.926
0.689 0.689 0.074
0.839 0.839 0.508
```

calculated density = 7228 kg/m3
size of the total moment = 0.0 μB per formula unit
DOS(E_F) = 0.47 states/eV per atom



--- ii ---
The following is a PBE calculation of NdInSn4 after structural relaxation, from the Alexandria database.

```
NdInSn4
1.0
0.000 4.398 4.398
4.398 0.000 4.398
4.398 4.398 0.000
Nd In Sn
1 1 4
Direct
0.000 0.000 0.000
0.750 0.750 0.750
0.375 0.375 0.375
0.375 0.375 0.875
0.375 0.875 0.375
0.875 0.375 0.375
```

calculated density = 7164 kg/m3
size of the total moment = 0.0 μB per formula unit
DOS(E_F) = 0.61 states/eV per atom



Stability summary: most stable i, least stable ii.